{"formula": "Rb3PrHo2O6", "functional": "PBE-GGA", "state": "relaxed", "cell": [[3.086, -5.345, 0.000], [3.086, 5.345, 0.000], [-2.055, 0.000, 6.580]], "species": ["Rb", "Rb", "Rb", "Pr", "Ho", "Ho", "O", "O", "O", "O", "O", "O"], "frac_coords": [[0.000, 0.000, 0.000], [0.332, 0.668, 0.000], [0.668, 0.332, 0.000], [0.500, 0.500, 0.500], [0.167, 0.833, 0.500], [0.833, 0.167, 0.500], [0.094, 0.441, 0.323], [0.212, 0.212, 0.677], [0.441, 0.094, 0.323], [0.559, 0.906, 0.677], [0.788, 0.788, 0.323], [0.906, 0.559, 0.677]], "e_form_raw_ev_per_atom": -2.64, "spacegroup": "C2/m (12)", "crystal_system": "monoclinic", "total_energy_ev_per_atom": -6.524}